DFT (PBE-GGA) results for crystalline CaAlPCl2 at its relaxed geometry.

V   22.12 Å³ per atom
ΔE to the lowest computed polymorph   0 meV per atom
Formation energy from raw total energies   -930 meV/atom

```
5
Lattice="4.7636 0.0000 0.0000 0.0000 4.7636 0.0000 0.0000 0.0000 4.8734" Properties=species:S:1:pos:R:3 pbc="T T T"
Ca 0.0000 0.0000 0.0000
Al 2.3818 2.3818 2.4367
P 2.3818 2.3818 0.0000
Cl 0.0000 2.3818 2.4367
Cl 2.3818 0.0000 2.4367
```

---

DFT (PBE-GGA) results for crystalline CaAlPCl2 at its relaxed geometry.

V   32.30 Å³ per atom
ΔE to the lowest computed polymorph   471 meV per atom
Formation energy from raw total energies   -459 meV/atom

```
5
Lattice="5.2723 0.0000 0.0000 0.0000 5.2723 0.0000 0.0000 0.0000 5.8105" Properties=species:S:1:pos:R:3 pbc="T T T"
Ca 0.0000 0.0000 0.0000
Al 2.6361 2.6361 2.9053
P 0.0000 0.0000 2.9053
Cl 0.0000 2.6361 0.0000
Cl 2.6361 0.0000 0.0000
```

---

DFT (PBE-GGA) results for crystalline CaAlP2Cl at its relaxed geometry.

V   31.02 Å³ per atom
ΔE to the lowest computed polymorph   921 meV per atom
Formation energy from raw total energies   425 meV/atom

```
5
Lattice="5.4517 0.0000 0.0000 0.0000 5.4517 0.0000 0.0000 0.0000 5.2182" Properties=species:S:1:pos:R:3 pbc="T T T"
Ca 0.0000 0.0000 0.0000
Al 2.7258 2.7258 2.6091
P 0.0000 2.7258 0.0000
P 2.7258 0.0000 0.0000
Cl 0.0000 0.0000 2.6091
```

---

DFT (PBE-GGA) results for crystalline CaAlP2Cl at its relaxed geometry.

V   22.13 Å³ per atom
ΔE to the lowest computed polymorph   0 meV per atom
Formation energy from raw total energies   -496 meV/atom

```
5
Lattice="4.5885 0.0000 0.0000 0.0000 4.5885 0.0000 0.0000 0.0000 5.2549" Properties=species:S:1:pos:R:3 pbc="T T T"
Ca 0.0000 0.0000 0.0000
Al 2.2943 2.2943 2.6274
P 0.0000 2.2943 2.6274
P 2.2943 0.0000 2.6274
Cl 2.2943 2.2943 0.0000
```

---

DFT (PBE-GGA) results for crystalline Ca2AlPdCl at its relaxed geometry.

V   25.89 Å³ per atom
Formation energy from raw total energies   -398 meV/atom

```
5
Lattice="5.2660 0.0000 0.0000 0.0000 5.2660 0.0000 0.0000 0.0000 4.6687" Properties=species:S:1:pos:R:3 pbc="T T T"
Ca 0.0000 2.6330 0.0000
Ca 2.6330 0.0000 0.0000
Al 0.0000 0.0000 2.3344
Pd 2.6330 2.6330 2.3344
Cl 2.6330 2.6330 0.0000
```

---

DFT (PBE-GGA) results for crystalline RbCaAl2Cl8 at its relaxed geometry.

V   31.49 Å³ per atom
Formation energy from raw total energies   -1619 meV/atom

```
12
Lattice="3.3446 1.9310 9.7511 -3.3446 1.9310 9.7511 0.0000 -3.8621 9.7511" Properties=species:S:1:pos:R:3 pbc="T T T"
Rb 0.0000 0.0000 0.0000
Ca 0.0000 0.0000 14.6267
Al 0.0000 0.0000 7.2148
Al 0.0000 0.0000 22.0387
Cl -2.2756 -0.0666 12.9627
Cl -1.0801 -2.0041 16.2908
Cl 0.0000 0.0000 9.3988
Cl 1.1955 -1.9374 12.9626
Cl -1.1955 1.9374 16.2908
Cl 0.0000 0.0000 19.8547
Cl 1.0801 2.0041 12.9627
Cl 2.2756 0.0666 16.2908
```